## TmPPbO (PBE-GGA)

Data for a relaxed TmPPbO crystal.

- ΔE to the lowest computed polymorph (eV/f.u.) = 0.48
- crystal system = tetragonal
- calculated total energy (eV per atom) = -5.9510
- total magnetic moment (μB/f.u.) = 0.0

Cell: 4.2244 4.2244 9.2832 Å, 90.00 90.00 90.00°
With the nearest neighbours (Å) after each atom.
Space group P4/nmm (No. 129, origin choice 2)
Unique sites:
Tm 0.2500 0.2500 0.0913 (multiplicity 2)  4 O 2.28
P 0.2500 0.2500 0.7329 (multiplicity 2)  4 Pb 3.02, 4 O 3.26, 1 Tm 3.33
Pb 0.2500 0.7500 0.5000 (multiplicity 2)  4 Pb 2.99, 4 P 3.02
O 0.2500 0.7500 0.0000 (multiplicity 2)  4 Tm 2.28